Material: CaW2Se
Method: DFT, GGA-PBEsol
State: optimized geometry

Calculated values
formation energy (no corrections)	0.88	eV/atom

a b c (Å): 2.770 5.057 5.306
angles (deg): 90.00 90.00 90.00
Fractional coordinates of all 4 atoms:
Ca (0.000, 0.000, 0.000)
W (0.500, 0.500, 0.241)
W (0.500, 0.500, 0.759)
Se (0.000, 0.000, 0.500)

=====

Material: CaW2Se
Method: DFT, GGA-PBEsol
State: optimized geometry

Calculated values
formation energy (no corrections)	0.80	eV/atom

a b c (Å): 2.996 2.996 8.255
angles (deg): 90.00 90.00 90.00
Fractional coordinates of all 4 atoms:
Ca (0.000, 0.000, 0.000)
W (0.500, 0.500, 0.309)
W (0.500, 0.500, 0.691)
Se (0.000, 0.000, 0.500)

=====

Material: CaW2Se
Method: DFT, GGA-PBEsol
State: optimized geometry

Calculated values
formation energy (no corrections)	0.08	eV/atom

a b c (Å): 3.214 3.439 14.515
angles (deg): 90.00 90.00 90.00
Fractional coordinates of all 8 atoms:
Ca (0.000, 0.000, 0.000)
Ca (0.000, 0.500, 0.500)
W (0.000, 0.000, 0.240)
W (0.000, 0.500, 0.740)
W (0.500, 0.000, 0.661)
W (0.500, 0.500, 0.161)
Se (0.500, 0.000, 0.382)
Se (0.500, 0.500, 0.882)

=====

Material: CaY2Se
Method: DFT, GGA-PBEsol
State: optimized geometry

Calculated values
formation energy (no corrections)	-0.69	eV/atom
polymorph energy (0 for the lowest one)	0.000	eV per atom

a b c (Å): 5.910 11.194 3.778
angles (deg): 90.00 90.00 90.00
Fractional coordinates of all 8 atoms:
Ca (0.000, 0.000, 0.000)
Ca (0.500, 0.500, 0.000)
Y (0.000, 0.322, 0.500)
Y (0.000, 0.678, 0.500)
Y (0.500, 0.178, 0.500)
Y (0.500, 0.822, 0.500)
Se (0.000, 0.500, 0.000)
Se (0.500, 0.000, 0.000)

=====

Material: CaYSe2
Method: DFT, GGA-PBEsol
State: optimized geometry

Calculated values
formation energy (no corrections)	-1.94	eV/atom
polymorph energy (0 for the lowest one)	0.003	eV per atom

a b c (Å): 4.070 4.070 5.747
angles (deg): 90.00 90.00 90.00
Fractional coordinates of all 4 atoms:
Ca (0.000, 0.000, 0.000)
Y (0.500, 0.500, 0.500)
Se (0.000, 0.000, 0.500)
Se (0.500, 0.500, 0.000)

=====

Material: CaY2Se
Method: DFT, GGA-PBEsol
State: optimized geometry

Calculated values
formation energy (no corrections)	-0.67	eV/atom
polymorph energy (0 for the lowest one)	0.019	eV per atom

a b c (Å): 3.514 3.514 9.283
angles (deg): 90.00 90.00 90.00
Fractional coordinates of all 4 atoms:
Ca (0.000, 0.000, 0.000)
Y (0.500, 0.500, 0.316)
Y (0.500, 0.500, 0.684)
Se (0.000, 0.000, 0.500)

=====

Material: CaYSe4
Method: DFT, GGA-PBEsol
State: optimized geometry

Calculated values
formation energy (no corrections)	-0.32	eV/atom

a b c (Å): 5.814 5.814 5.814
angles (deg): 60.00 60.00 60.00
Fractional coordinates of all 6 atoms:
Ca (0.000, 0.000, 0.000)
Y (0.750, 0.750, 0.750)
Se (0.375, 0.375, 0.375)
Se (0.375, 0.375, 0.874)
Se (0.375, 0.874, 0.375)
Se (0.874, 0.375, 0.375)

=====

Material: CaYSe2
Method: DFT, GGA-PBEsol
State: optimized geometry

Calculated values
formation energy (no corrections)	-1.94	eV/atom
polymorph energy (0 for the lowest one)	0.000	eV per atom

a b c (Å): 4.049 4.049 20.196
angles (deg): 90.00 90.00 120.00
Fractional coordinates of all 12 atoms:
Ca (0.000, 0.000, 0.000)
Ca (0.333, 0.667, 0.667)
Ca (0.667, 0.333, 0.333)
Y (0.000, 0.000, 0.500)
Y (0.333, 0.667, 0.167)
Y (0.667, 0.333, 0.833)
Se (0.000, 0.000, 0.249)
Se (0.000, 0.000, 0.751)
Se (0.333, 0.667, 0.418)
Se (0.333, 0.667, 0.915)
Se (0.667, 0.333, 0.085)
Se (0.667, 0.333, 0.582)

=====

Material: CaZn3Se4
Method: DFT, GGA-PBEsol
State: optimized geometry

Calculated values
formation energy (no corrections)	-0.86	eV/atom

a b c (Å): 5.856 5.856 5.856
angles (deg): 90.00 90.00 90.00
Fractional coordinates of all 8 atoms:
Ca (0.000, 0.000, 0.000)
Zn (0.000, 0.500, 0.500)
Zn (0.500, 0.000, 0.500)
Zn (0.500, 0.500, 0.000)
Se (0.270, 0.270, 0.270)
Se (0.270, 0.730, 0.730)
Se (0.730, 0.270, 0.730)
Se (0.730, 0.730, 0.270)

=====

Material: Ca2ZrSe
Method: DFT, GGA-PBEsol
State: optimized geometry

Calculated values
formation energy (no corrections)	-0.14	eV/atom

a b c (Å): 3.736 4.942 5.218
angles (deg): 90.00 90.00 90.00
Fractional coordinates of all 4 atoms:
Ca (0.000, 0.000, 0.000)
Ca (0.500, 0.000, 0.500)
Zr (0.000, 0.500, 0.500)
Se (0.500, 0.500, 0.000)

=====

Material: CaZr2Se
Method: DFT, GGA-PBEsol
State: optimized geometry

Calculated values
formation energy (no corrections)	0.02	eV/atom

a b c (Å): 4.994 4.994 3.423
angles (deg): 90.00 90.00 90.00
Fractional coordinates of all 4 atoms:
Ca (0.000, 0.000, 0.000)
Zr (0.000, 0.500, 0.500)
Zr (0.500, 0.000, 0.500)
Se (0.500, 0.500, 0.000)

=====

Material: CaZr2Se
Method: DFT, GGA-PBEsol
State: optimized geometry

Calculated values
formation energy (no corrections)	-0.20	eV/atom

a b c (Å): 5.810 11.153 3.502
angles (deg): 90.00 126.77 90.00
Fractional coordinates of all 8 atoms:
Ca (0.000, 0.000, 0.000)
Ca (0.500, 0.500, 0.000)
Zr (0.250, 0.250, 0.500)
Zr (0.250, 0.750, 0.500)
Zr (0.750, 0.250, 0.500)
Zr (0.750, 0.750, 0.500)
Se (0.000, 0.500, 0.000)
Se (0.500, 0.000, 0.000)